! PBE+U NiPdF5, optimized geometry; values from VASP
&SYSTEM
  ibrav = 0, nat = 14, ntyp = 3
/
ATOMIC_SPECIES
Ni 58.69 Ni.upf
Pd 106.42 Pd.upf
F 19.00 F.upf
CELL_PARAMETERS angstrom
3.993 -3.398 0.000
3.993 3.398 0.000
-3.088 0.000 7.352
ATOMIC_POSITIONS crystal
Ni 0.082 0.918 0.750
Ni 0.918 0.082 0.250
Pd 0.000 0.500 0.000
Pd 0.500 0.000 0.500
F 0.161 0.234 0.492
F 0.180 0.599 0.845
F 0.224 0.776 0.250
F 0.234 0.161 0.992
F 0.401 0.820 0.655
F 0.599 0.180 0.345
F 0.766 0.839 0.008
F 0.776 0.224 0.750
F 0.820 0.401 0.155
F 0.839 0.766 0.508
! Calculated volume: 14.3 Å³ per atom
! Crystal system: monoclinic
! Energy: -28.09 eV/f.u.
! Space group: No. 15